No. 1
Entry from Alexandria via LeMat-Bulk: YSi4Os4 after structural relaxation (GGA-PBE).

As for the space group: P4_2/nmc (137). As for the density of states at the Fermi level: 0.572 states/eV/atom. As for the raw formation energy: -370 meV/atom. The calculated total energy is -8.49 eV per atom.

Unit cell a=5.9631 b=5.9631 c=8.0174 alpha=90.00 beta=90.00 gamma=90.00
Fractional positions:
Y (0.0000, 0.0000, 0.0000)
Y (0.5000, 0.5000, 0.5000)
Si (0.5000, 0.8029, 0.8221)
Si (0.5000, 0.1971, 0.8221)
Si (0.8029, 0.5000, 0.1779)
Si (0.1971, 0.5000, 0.1779)
Si (0.3029, 0.0000, 0.3221)
Si (0.6971, 0.0000, 0.3221)
Si (0.0000, 0.3029, 0.6779)
Si (0.0000, 0.6971, 0.6779)
Os (0.2475, 0.5000, 0.8771)
Os (0.7525, 0.5000, 0.8771)
Os (0.5000, 0.7525, 0.1229)
Os (0.5000, 0.2475, 0.1229)
Os (0.0000, 0.7475, 0.3771)
Os (0.0000, 0.2525, 0.3771)
Os (0.2525, 0.0000, 0.6229)
Os (0.7475, 0.0000, 0.6229)

No. 2
Entry from Alexandria via LeMat-Bulk: TiAl3Ga after structural relaxation (GGA-PBE).

The calculation puts the formation enthalpy at 0 K at 0.764 eV per atom. As for the space group: Pm-3m (221). As for the density of states at the Fermi level: 0.800 states/eV/atom. The calculated total energy is -3.67 eV per atom.

Unit cell a=5.0553 b=5.0553 c=5.0553 alpha=90.00 beta=90.00 gamma=90.00
Last column: magnetic moment on the atom in μB.
Fractional positions:
Al (0.0000, 0.5000, 0.0000)  0.06
Al (0.0000, 0.0000, 0.5000)  0.03
Al (0.5000, 0.0000, 0.0000)  0.05
Ga (0.5000, 0.5000, 0.5000)  -0.01
Ti (0.0000, 0.0000, 0.0000)  1.10

No. 3
Entry from Alexandria via LeMat-Bulk: Na4Sr5Ac after structural relaxation (GGA-PBE).

The calculation puts the formation enthalpy at 0 K at 0.041 eV per atom. As for the space group: P4/mmm (123). As for the density of states at the Fermi level: 0.967 states/eV/atom. The calculated total energy is -1.74 eV per atom.

Unit cell a=4.3918 b=4.3918 c=24.0176 alpha=90.00 beta=90.00 gamma=90.00
Fractional positions:
Na (0.0000, 0.0000, 0.2067)
Na (0.0000, 0.0000, 0.4031)
Na (0.0000, 0.0000, 0.5969)
Na (0.0000, 0.0000, 0.7933)
Sr (0.5000, 0.5000, 0.1105)
Sr (0.5000, 0.5000, 0.3058)
Sr (0.5000, 0.5000, 0.5000)
Sr (0.5000, 0.5000, 0.6942)
Sr (0.5000, 0.5000, 0.8895)
Ac (0.0000, 0.0000, 0.0000)